## LiMg2Cd2 (SCAN)

Data for a crystal of LiMg2Cd2 relaxed with PBEsol.

Lattice parameters (Å, degrees): 8.1330 8.1330 3.2497 90.00 90.00 90.00
Atoms (fractional coordinates):
1 Li 0.0000 0.0000 0.0000
2 Li 0.5000 0.5000 0.0000
3 Mg 0.1700 0.3300 0.5000
4 Mg 0.3300 0.8300 0.5000
5 Mg 0.6700 0.1700 0.5000
6 Mg 0.8300 0.6700 0.5000
7 Cd 0.1293 0.6293 0.0000
8 Cd 0.3707 0.1293 0.0000
9 Cd 0.6293 0.8707 0.0000
10 Cd 0.8707 0.3707 0.0000

As for the total magnetic moment: 0.000 μB per formula unit. The energy of formation comes out at -166.0 meV/atom. As for the calculated total energy: -14.799 eV/atom. As for the space-group type: No. 127.